No. 1
LaMg2PbC PBE-GGA relaxed; formation energy from the elements = -0.094 eV/atom; space group = P4/mmm, No. 123
1.0
-4.4987 -0.7735 0.9714
-0.1147 -3.3762 -3.2200
1.3498 -3.4146 3.5322
Pb La Mg C
1 1 2 1
direct
0.5000 0.5000 0.5000
0.0000 0.0000 0.5000
0.0000 0.5000 0.0000
0.5000 0.0000 0.0000
0.0000 0.0000 0.0000

No. 2
SrTaRhO6 PBE-GGA relaxed; space group = P312, No. 149
1.0
5.3002 0.0000 -0.0001
2.6501 4.5901 0.0001
0.0001 -0.0002 5.4278
Ta O Rh Sr
1 6 1 1
direct
0.6666 0.6667 0.5000
0.0017 0.6258 0.7020
0.6258 0.3725 0.7020
0.3725 0.6258 0.2980
0.0017 0.3725 0.2980
0.3725 0.0017 0.7020
0.6258 0.0017 0.2980
0.3333 0.3333 0.5000
0.0000 0.0000 0.0000

No. 3
PrMnNi3 PBE-GGA relaxed; formation energy from the elements = -0.056 eV/atom; space group = P6_3/mmc, No. 194
1.0
5.4516 0.0000 0.0000
-0.0003 5.8753 0.0000
0.0005 -2.9379 5.0890
Mn Ni Pr
2 6 2
direct
0.0000 0.0000 0.0000
0.5000 0.0000 0.0000
0.2499 0.8031 0.1968
0.7500 0.1968 0.3936
0.7501 0.1969 0.8032
0.2500 0.3936 0.1968
0.7500 0.6064 0.8032
0.2500 0.8032 0.6064
0.7499 0.6668 0.3334
0.2501 0.3332 0.6666

Per-record Fermi-level density of states, states/eV/cell: 2.63 3.21 5.78
Per-record density, Mg/m³: 6.1 5.9 7.6
Per-record VASP energy, eV/atom: -4.303 -7.647 -6.315